No. 1
Computed, not measured: a PBEsol-optimized structure of ZrMoPb at the SCAN level of DFT.

Properties
The calculation puts the final energy at -46.20 eV per atom. The magnetic moment comes out at 0.5 μB per cell. The space-group type is F-43m, No. 216. Its density of states at the Fermi level is 4.582 states/eV per cell. Its formation energy is 0.9225 eV per atom.

Cell lengths 4.6642, 4.6642, 4.6642 Å; angles 60.00, 60.00, 60.00 degrees
Last column: magnetic moment on the atom in μB.
Fractional coordinates of all 3 atoms:
Pb: 0.5000 0.5000 0.5000  0.00
Zr: 0.7500 0.7500 0.7500  -0.06
Mo: 0.0000 0.0000 0.0000  0.46

=====

No. 2
Computed, not measured: a PBEsol-optimized structure of Zr2MoPb at the SCAN level of DFT.

Properties
The calculation puts the final energy at -43.08 eV per atom. The magnetic moment comes out at 0.0 μB per cell. The space-group type is Imm2, No. 44. Its density of states at the Fermi level is 2.869 states/eV per cell. Its formation energy is -0.0666 eV per atom.

Cell lengths 3.5688, 4.7246, 5.6474 Å; angles 114.73, 108.42, 90.00 degrees
Fractional coordinates of all 4 atoms:
Zr: 0.0052 0.0052 0.0104
Zr: 0.7681 0.2681 0.5362
Pb: 0.2361 0.7361 0.4722
Mo: 0.4906 0.4906 0.9811

=====

No. 3
Computed, not measured: a PBEsol-optimized structure of Zr2MoPb at the SCAN level of DFT.

Properties
The calculation puts the final energy at -43.11 eV per atom. The magnetic moment comes out at 0.0 μB per cell. The space-group type is Cmmm, No. 65. Its density of states at the Fermi level is 2.941 states/eV per cell. Its formation energy is -0.0920 eV per atom.

Cell lengths 3.1481, 3.1481, 9.2116 Å; angles 90.00, 90.00, 113.73 degrees
Fractional coordinates of all 4 atoms:
Mo: 0.5000 0.5000 0.5000
Zr: 0.0000 0.0000 0.7214
Zr: 0.0000 0.0000 0.2786
Pb: 0.5000 0.5000 0.0000

=====

No. 4
Computed, not measured: a PBEsol-optimized structure of MoPd3 at the SCAN level of DFT.

Properties
The calculation puts the final energy at -33.34 eV per atom. The magnetic moment comes out at 0.0 μB per cell. The space-group type is R-3m, No. 166. Its density of states at the Fermi level is 3.604 states/eV per cell. Its formation energy is -0.0331 eV per atom.

Cell lengths 2.7412, 2.7412, 9.1087 Å; angles 81.35, 81.35, 60.00 degrees
Fractional coordinates of all 4 atoms:
Mo: 0.0000 0.0000 0.0000
Pd: 0.5000 0.5000 0.5000
Pd: 0.2516 0.2516 0.2451
Pd: 0.7484 0.7484 0.7549

=====

No. 5
Computed, not measured: a PBEsol-optimized structure of MoPd2 at the SCAN level of DFT.

Properties
The calculation puts the final energy at -33.57 eV per atom. The magnetic moment comes out at 0.0 μB per cell. The space-group type is Immm, No. 71. Its density of states at the Fermi level is 1.922 states/eV per cell. Its formation energy is -0.0948 eV per atom.

Cell lengths 2.7215, 3.9148, 4.7214 Å; angles 114.49, 106.75, 90.00 degrees
Fractional coordinates of all 3 atoms:
Pd: 0.3347 0.3347 0.6693
Pd: 0.6653 0.6653 0.3307
Mo: 0.0000 0.0000 0.0000

=====

No. 6
Computed, not measured: a PBEsol-optimized structure of MoPd2Pt2 at the SCAN level of DFT.

Properties
The calculation puts the final energy at -47.69 eV per atom. The magnetic moment comes out at 2.1 μB per cell. The space-group type is I4/mmm, No. 139. Its density of states at the Fermi level is 4.658 states/eV per cell. Its formation energy is 0.4770 eV per atom.

Cell lengths 3.5769, 3.5769, 6.9489 Å; angles 104.91, 104.91, 90.00 degrees
Last column: magnetic moment on the atom in μB.
Fractional coordinates of all 5 atoms:
Pt: 0.2500 0.7500 0.5000  -0.02
Pt: 0.7500 0.2500 0.5000  -0.02
Mo: 0.0000 0.0000 0.0000  2.08
Pd: 0.4036 0.4036 0.8071  -0.04
Pd: 0.5964 0.5964 0.1929  -0.04

=====

No. 7
Computed, not measured: a PBEsol-optimized structure of MoPd2RuPt at the SCAN level of DFT.

Properties
The calculation puts the final energy at -39.52 eV per atom. The magnetic moment comes out at 2.3 μB per cell. The space-group type is P4/mmm, No. 123. Its density of states at the Fermi level is 3.685 states/eV per cell. Its formation energy is 1.5672 eV per atom.

Cell lengths 4.6120, 4.6120, 4.6830 Å; angles 90.00, 90.00, 90.00 degrees
Last column: magnetic moment on the atom in μB.
Fractional coordinates of all 5 atoms:
Pt: 0.0000 0.0000 0.5000  0.00
Ru: 0.5000 0.5000 0.5000  2.30
Pd: 0.5000 0.0000 0.0000  -0.05
Pd: 0.0000 0.5000 0.0000  -0.05
Mo: 0.0000 0.0000 0.0000  0.02

=====

No. 8
Computed, not measured: a PBEsol-optimized structure of Rb2MoPd at the SCAN level of DFT.

Properties
The calculation puts the final energy at -25.99 eV per atom. The magnetic moment comes out at 5.9 μB per cell. The space-group type is Fm-3m, No. 225. Its density of states at the Fermi level is 0.794 states/eV per cell. Its formation energy is 1.2960 eV per atom.

Cell lengths 5.6706, 5.6706, 5.6706 Å; angles 60.00, 60.00, 60.00 degrees
Last column: magnetic moment on the atom in μB.
Fractional coordinates of all 4 atoms:
Mo: 0.0000 0.0000 0.0000  4.43
Rb: 0.7500 0.7500 0.7500  0.07
Rb: 0.2500 0.2500 0.2500  0.07
Pd: 0.5000 0.5000 0.5000  0.09

=====

No. 9
Computed, not measured: a PBEsol-optimized structure of ReMoPd3 at the SCAN level of DFT.

Properties
The calculation puts the final energy at -38.89 eV per atom. The magnetic moment comes out at 3.2 μB per cell. The space-group type is Pm-3m, No. 221. Its density of states at the Fermi level is 4.206 states/eV per cell. Its formation energy is 1.9758 eV per atom.

Cell lengths 4.6213, 4.6213, 4.6213 Å; angles 90.00, 90.00, 90.00 degrees
Last column: magnetic moment on the atom in μB.
Fractional coordinates of all 5 atoms:
Pd: 0.0000 0.0000 0.5000  -0.07
Pd: 0.0000 0.5000 0.0000  -0.07
Pd: 0.5000 0.0000 0.0000  -0.07
Re: 0.5000 0.5000 0.5000  2.87
Mo: 0.0000 0.0000 0.0000  -0.18

=====

No. 10
Computed, not measured: a PBEsol-optimized structure of Re2MoPd at the SCAN level of DFT.

Properties
The calculation puts the final energy at -52.08 eV per atom. The magnetic moment comes out at 0.0 μB per cell. The space-group type is Fm-3m, No. 225. Its density of states at the Fermi level is 3.935 states/eV per cell. Its formation energy is 0.3828 eV per atom.

Cell lengths 4.3755, 4.3755, 4.3755 Å; angles 60.00, 60.00, 60.00 degrees
Fractional coordinates of all 4 atoms:
Re: 0.2500 0.2500 0.2500
Re: 0.7500 0.7500 0.7500
Pd: 0.5000 0.5000 0.5000
Mo: 0.0000 0.0000 0.0000

=====

No. 11
Computed, not measured: a PBEsol-optimized structure of ReTeMoPd2 at the SCAN level of DFT.

Properties
The calculation puts the final energy at -40.49 eV per atom. The magnetic moment comes out at 0.0 μB per cell. The calculation puts the energy relative to the elements, uncorrected at 1.26 eV per atom. The space-group type is P4/mmm, No. 123. Its density of states at the Fermi level is 5.062 states/eV per cell.

Cell lengths 4.6242, 4.8112, 4.8112 Å; angles 90.00, 90.00, 90.00 degrees
Fractional coordinates of all 5 atoms:
Re: 0.0000 0.0000 0.0000
Mo: 0.5000 0.0000 0.0000
Pd: 0.0000 0.0000 0.5000
Pd: 0.0000 0.5000 0.0000
Te: 0.5000 0.5000 0.5000

=====

No. 12
Computed, not measured: a PBEsol-optimized structure of Mo2PdRh at the SCAN level of DFT.

Properties
The calculation puts the final energy at -33.62 eV per atom. The magnetic moment comes out at 0.0 μB per cell. The space-group type is Fm-3m, No. 225. Its density of states at the Fermi level is 5.608 states/eV per cell. Its formation energy is 0.4622 eV per atom.

Cell lengths 4.3817, 4.3817, 4.3817 Å; angles 60.00, 60.00, 60.00 degrees
Fractional coordinates of all 4 atoms:
Pd: 0.5000 0.5000 0.5000
Mo: 0.7500 0.7500 0.7500
Mo: 0.2500 0.2500 0.2500
Rh: 0.0000 0.0000 0.0000

=====

Question: final energy of number 5 (MoPd2)?
Answer: -33.57 eV per atom